Record 1
The following is a PBE calculation of a geometry-optimized AcScPb structure, from the Alexandria database.

## Properties
* calculated total energy: -5.17 eV per atom
* formation energy from the elements: -452 meV per atom
* spin magnetization: 1.56 μB per cell
* DOS(E_F): 5.6 states/eV/cell
* polymorph energy (0 for the lowest one): 0 meV/atom

a = 4.7255 Å, b = 4.7255 Å, c = 9.3737 Å
α = 104.60°, β = 104.60°, γ = 90.00°
With the nearest neighbours (Å) after each atom.
Positions (direct):
Sc: 0.5000 0.0000 0.0000  4 Pb 3.14, 4 Sc 3.34
Pb: 0.1185 0.1185 0.2369  4 Sc 3.14, 4 Ac 3.48
Ac: 0.6732 0.6732 0.3463  5 Pb 3.48-3.65, 4 Sc 3.84
Sc: 0.0000 0.5000 0.0000  4 Pb 3.14, 4 Sc 3.34
Pb: 0.8815 0.8815 0.7631  4 Sc 3.14, 4 Ac 3.48
Ac: 0.3268 0.3268 0.6537  5 Pb 3.48-3.65, 4 Sc 3.84

---

Record 2
The following is a PBE calculation of a geometry-optimized Ac3Sc2Pb3 structure, from the Alexandria database.

## Properties
* calculated total energy: -4.92 eV per atom
* formation energy from the elements: -408 meV per atom
* spin magnetization: 2.37 μB per cell
* DOS(E_F): 19.6 states/eV/cell
* polymorph energy (0 for the lowest one): 0 meV/atom

a = 6.6766 Å, b = 9.5737 Å, c = 9.5737 Å
α = 120.00°, β = 90.00°, γ = 90.00°
With the nearest neighbours (Å) after each atom.
Positions (direct):
Pb: 0.2500 0.5974 0.5974  5 Ac 3.34-3.65, 4 Sc 3.36
Ac: 0.2500 0.2482 0.2482  5 Pb 3.34-3.65
Pb: 0.2500 0.4026 0.0000  5 Ac 3.34-3.65, 4 Sc 3.36
Ac: 0.2500 0.0000 0.7518  5 Pb 3.34-3.65
Sc: 0.5000 0.3333 0.6667  2 Sc 3.34, 6 Pb 3.36
Ac: 0.7500 0.2482 0.0000  5 Pb 3.34-3.65
Pb: 0.7500 0.5974 0.0000  5 Ac 3.34-3.65, 4 Sc 3.36
Pb: 0.7500 0.4026 0.4026  5 Ac 3.34-3.65, 4 Sc 3.36
Ac: 0.7500 0.7518 0.7518  5 Pb 3.34-3.65
Pb: 0.2500 0.0000 0.4026  5 Ac 3.34-3.65, 4 Sc 3.36
Ac: 0.2500 0.7518 0.0000  5 Pb 3.34-3.65
Ac: 0.7500 0.0000 0.2482  5 Pb 3.34-3.65
Sc: 0.0000 0.3333 0.6667  2 Sc 3.34, 6 Pb 3.36
Sc: 0.0000 0.6667 0.3333  2 Sc 3.34, 6 Pb 3.36
Sc: 0.5000 0.6667 0.3333  2 Sc 3.34, 6 Pb 3.36
Pb: 0.7500 0.0000 0.5974  5 Ac 3.34-3.65, 4 Sc 3.36

---

Record 3
The following is a PBE calculation of a geometry-optimized AcScPb2 structure, from the Alexandria database.

## Properties
* calculated total energy: -4.78 eV per atom
* formation energy from the elements: -313 meV per atom
* spin magnetization: 0.83 μB per cell
* DOS(E_F): 4.2 states/eV/cell

a = 4.6655 Å, b = 5.1354 Å, c = 5.1354 Å
α = 90.00°, β = 90.00°, γ = 90.00°
With the nearest neighbours (Å) after each atom.
Positions (direct):
Pb: 0.0000 0.0000 0.5000  4 Ac 3.47, 4 Sc 3.47, 4 Pb 3.63
Sc: 0.5000 0.5000 0.5000  8 Pb 3.47, 4 Ac 3.63
Pb: 0.0000 0.5000 0.0000  4 Sc 3.47, 4 Ac 3.47, 4 Pb 3.63
Ac: 0.5000 0.0000 0.0000  8 Pb 3.47, 4 Sc 3.63

---

Record 4
The following is a PBE calculation of a geometry-optimized Ac3ScPb3 structure, from the Alexandria database.

## Properties
* calculated total energy: -4.61 eV per atom
* formation energy from the elements: -350 meV per atom
* spin magnetization: 0.00 μB per cell
* DOS(E_F): 2.1 states/eV/cell

a = 8.3745 Å, b = 8.3745 Å, c = 8.5558 Å
α = 94.73°, β = 94.73°, γ = 111.86°
With the nearest neighbours (Å) after each atom.
Positions (direct):
Sc: 0.1857 0.1857 0.1411  4 Pb 2.86-2.87
Pb: 0.4824 0.1429 0.2905  1 Sc 2.86
Pb: 0.1088 0.1088 0.8049  2 Sc 2.86-2.87, 1 Ac 3.19
Ac: 0.7689 0.2311 0.0000  6 Pb 3.53-3.82, 2 Sc 3.76
Pb: 0.8912 0.8912 0.1951  2 Sc 2.86-2.87, 1 Ac 3.19
Pb: 0.8571 0.5176 0.7095  1 Sc 2.86
Pb: 0.5176 0.8571 0.7095  1 Sc 2.86
Sc: 0.8143 0.8143 0.8589  4 Pb 2.86-2.87
Ac: 0.8392 0.1608 0.5000  6 Pb 3.30-3.66
Ac: 0.1608 0.8392 0.5000  6 Pb 3.30-3.66
Ac: 0.6032 0.6032 0.3520  1 Pb 3.19, 1 Ac 3.41
Ac: 0.2311 0.7689 0.0000  6 Pb 3.53-3.82, 2 Sc 3.76
Ac: 0.3968 0.3968 0.6480  1 Pb 3.19, 1 Ac 3.41
Pb: 0.1429 0.4824 0.2905  1 Sc 2.86

---

Record 5
The following is a PBE calculation of a geometry-optimized Ac3Sc2Pb3 structure, from the Alexandria database.

## Properties
* calculated total energy: -4.89 eV per atom
* formation energy from the elements: -375 meV per atom
* spin magnetization: 0.72 μB per cell
* DOS(E_F): 10.6 states/eV/cell
* polymorph energy (0 for the lowest one): 33 meV/atom

a = 4.5390 Å, b = 5.0468 Å, c = 12.1957 Å
α = 101.94°, β = 100.72°, γ = 90.00°
With the nearest neighbours (Å) after each atom.
Positions (direct):
Sc: 0.2467 0.7467 0.4934  4 Pb 3.09-3.19, 4 Sc 3.40
Sc: 0.7533 0.2533 0.5066  4 Pb 3.09-3.19, 4 Sc 3.40
Ac: 0.3749 0.3749 0.7497  6 Pb 3.51-3.71, 4 Sc 3.64-3.92, 2 Ac 3.87
Pb: 0.0000 0.5000 0.0000  8 Ac 3.39-3.71
Pb: 0.8363 0.8363 0.6725  4 Sc 3.09-3.19
Pb: 0.1637 0.1637 0.3275  4 Sc 3.09-3.19
Ac: 0.5000 0.0000 0.0000  4 Pb 3.39
Ac: 0.6251 0.6251 0.2503  6 Pb 3.51-3.71, 4 Sc 3.64-3.92, 2 Ac 3.87

---

Record 6
The following is a PBE calculation of a geometry-optimized AcScPb structure, from the Alexandria database.

## Properties
* calculated total energy: -5.02 eV per atom
* formation energy from the elements: -309 meV per atom
* spin magnetization: 0.00 μB per cell
* DOS(E_F): 0.8 states/eV/cell
* polymorph energy (0 for the lowest one): 143 meV/atom

a = 4.5411 Å, b = 5.0365 Å, c = 5.0365 Å
α = 120.00°, β = 90.00°, γ = 90.00°
With the nearest neighbours (Å) after each atom.
Positions (direct):
Sc: 0.8332 0.0000 0.0000  3 Pb 2.91
Ac: 0.3333 0.3333 0.6667  6 Pb 3.69, 6 Sc 3.69
Pb: 0.8335 0.6667 0.3333  3 Sc 2.91

---

Record 7
The following is a PBE calculation of a geometry-optimized AcScPb2 structure, from the Alexandria database.

## Properties
* calculated total energy: -4.83 eV per atom
* formation energy from the elements: -368 meV per atom
* spin magnetization: 0.01 μB per cell
* DOS(E_F): 3.9 states/eV/cell

a = 4.0414 Å, b = 4.0414 Å, c = 7.3465 Å
α = 90.00°, β = 90.00°, γ = 90.00°
With the nearest neighbours (Å) after each atom.
Positions (direct):
Sc: 0.5000 0.5000 0.0000  8 Pb 3.25
Ac: 0.5000 0.5000 0.5000  8 Pb 3.56, 2 Sc 3.67
Pb: 0.0000 0.0000 0.7894  1 Pb 3.09, 4 Sc 3.25
Pb: 0.0000 0.0000 0.2106  1 Pb 3.09, 4 Sc 3.25

---

Record 8
The following is a PBE calculation of a geometry-optimized Ac3ScPb2 structure, from the Alexandria database.

## Properties
* calculated total energy: -4.69 eV per atom
* formation energy from the elements: -344 meV per atom
* spin magnetization: 2.58 μB per cell
* DOS(E_F): 17.2 states/eV/cell

a = 6.9444 Å, b = 6.9128 Å, c = 10.2630 Å
α = 109.68°, β = 109.77°, γ = 90.00°
With the nearest neighbours (Å) after each atom.
Positions (direct):
Ac: 0.9179 0.1755 0.3510  5 Pb 3.44-3.70
Ac: 0.5000 0.2500 0.0000  2 Ac 3.46, 2 Sc 3.47, 4 Pb 3.48
Ac: 0.5000 0.7500 0.0000  2 Ac 3.46, 2 Sc 3.47, 4 Pb 3.48
Sc: 0.0000 0.2500 0.0000  4 Pb 3.29, 2 Sc 3.46, 2 Ac 3.47
Ac: 0.4331 0.6755 0.3510  5 Pb 3.44-3.70
Pb: 0.3526 0.1291 0.2582  2 Sc 3.29, 6 Ac 3.44-3.56
Pb: 0.0943 0.3709 0.7418  2 Sc 3.29, 6 Ac 3.44-3.56
Pb: 0.6474 0.8709 0.7418  2 Sc 3.29, 6 Ac 3.44-3.56
Ac: 0.0821 0.8245 0.6490  5 Pb 3.44-3.70
Sc: 0.0000 0.7500 0.0000  4 Pb 3.29, 2 Sc 3.46, 2 Ac 3.47
Pb: 0.9057 0.6291 0.2582  2 Sc 3.29, 6 Ac 3.44-3.56
Ac: 0.5669 0.3245 0.6490  5 Pb 3.44-3.70

---

Question: Which value of DOS(E_F) does entry 4 give?
Answer: 2.1 states/eV/cell